# 1
A plane-wave DFT calculation with PBE was carried out for an optimized crystal structure of Tc2Ir.

Polymorph energy (0 for the lowest one) (meV/atom): 1041
D(E_F) (states/eV/cell): 22.28
Uncorrected energy (Ha/atom): -0.33205
Formation energy (eV/atom): 0.8289

Cell: 6.0051 6.0051 6.0051 Å, 90.00 90.00 90.00°
Sites, in units of the cell vectors:
Tc 0.3927 0.1073 0.8927
Tc 0.1073 0.8927 0.3927
Tc 0.8927 0.3927 0.1073
Tc 0.8927 0.1073 0.6073
Tc 0.1073 0.6073 0.8927
Tc 0.6073 0.6073 0.6073
Tc 0.3927 0.3927 0.3927
Tc 0.6073 0.8927 0.1073
Ir 0.5000 0.5000 0.0000
Ir 0.0000 0.0000 0.0000
Ir 0.0000 0.5000 0.5000
Ir 0.5000 0.0000 0.5000

# 2
A plane-wave DFT calculation with PBE was carried out for an optimized crystal structure of ZrAg2SeBr.

D(E_F) (states/eV/cell): 5.43
Uncorrected energy (Ha/atom): -0.11828
Formation energy from raw total energies (eV per atom): 0.663

Cell: 5.5017 5.5017 5.0266 Å, 90.00 90.00 90.00°
Site moments in Bohr magnetons follow the coordinates.
Sites, in units of the cell vectors:
Br 0.0000 0.0000 0.5000  -0.01
Se 0.5000 0.5000 0.5000  0.13
Ag 0.5000 0.0000 0.0000  0.03
Ag 0.0000 0.5000 0.0000  0.03
Zr 0.0000 0.0000 0.0000  0.34

# 3
A plane-wave DFT calculation with PBE was carried out for an optimized crystal structure of KUNb2O8.

D(E_F) (states/eV/cell): 1.14
Uncorrected energy (Ha/atom): -0.31909
Formation energy from raw total energies (eV per atom): -2.667

Cell: 5.5773 5.5772 7.5203 Å, 78.12 78.12 71.12°
Site moments in Bohr magnetons follow the coordinates.
Sites, in units of the cell vectors:
O 0.2460 0.7690 0.2054  -0.01
O 0.7540 0.2310 0.7946  -0.01
O 0.6423 0.6426 0.4926  0.00
O 0.7633 0.7635 0.0963  -0.02
O 0.2367 0.2365 0.9037  -0.02
O 0.3577 0.3574 0.5074  0.00
O 0.2308 0.7539 0.7946  -0.01
O 0.7692 0.2461 0.2054  -0.01
U 0.0000 0.0000 0.0000  1.09
Nb 0.4296 0.4296 0.7195  -0.01
Nb 0.5704 0.5704 0.2805  -0.01
K 0.0000 0.0000 0.5000  0.00